Material: RbSnB
Method: DFT, PBE-GGA
State: relaxed

Cell: 7.6193 8.0978 7.1469 Å, 90.00 90.00 90.00°
Atoms (fractional coordinates):
Rb1 0.0000 0.1488 0.2500
Rb2 0.0000 0.8512 0.7500
Rb3 0.5000 0.3512 0.7500
Rb4 0.5000 0.6488 0.2500
Sn1 0.0000 0.3497 0.7500
Sn2 0.0000 0.6503 0.2500
Sn3 0.5000 0.1503 0.2500
Sn4 0.5000 0.8497 0.7500
B1 0.0000 0.5000 0.0000
B2 0.0000 0.5000 0.5000
B3 0.5000 0.0000 0.0000
B4 0.5000 0.0000 0.5000

crystal system	orthorhombic
ΔE_f	704	meV/atom



Material: BaSrLi2I
Method: DFT, PBE-GGA
State: relaxed

Cell: 6.5336 6.5336 6.4288 Å, 90.00 90.00 90.00°
Atoms (fractional coordinates):
Ba1 0.0000 0.0000 0.0000
Sr1 0.5000 0.5000 0.5000
Li1 0.0000 0.5000 0.0000
Li2 0.5000 0.0000 0.0000
I1 0.0000 0.0000 0.5000

crystal system	tetragonal
uncorrected formation energy	7.6	kJ/mol of atoms



Material: Er2ZnAu2
Method: DFT, PBE-GGA
State: relaxed

Cell: 9.0499 9.0499 6.4372 Å, 90.00 90.00 155.27°
Atoms (fractional coordinates):
Er1 0.0029 0.9971 0.5000
Er2 0.2089 0.7911 0.9211
Er3 0.7911 0.2089 0.4211
Er4 0.9971 0.0029 0.0000
Zn1 0.3925 0.6075 0.7181
Zn2 0.6075 0.3925 0.2181
Au1 0.1706 0.8294 0.4559
Au2 0.4104 0.5896 0.2713
Au3 0.5896 0.4104 0.7713
Au4 0.8294 0.1706 0.9559

crystal system	orthorhombic
ΔE_f	-639	meV/atom



Material: Ti3CuSb
Method: DFT, PBE-GGA
State: relaxed

Cell: 4.6006 4.6006 4.6006 Å, 90.00 90.00 90.00°
Atoms (fractional coordinates):
Ti1 0.0000 0.0000 0.5000
Ti2 0.0000 0.5000 0.0000
Ti3 0.5000 0.0000 0.0000
Cu1 0.0000 0.0000 0.0000
Sb1 0.5000 0.5000 0.5000

crystal system	cubic
distance to the lowest polymorph of the same formula	235.7	meV/atom
uncorrected formation energy	23.9	kJ/mol of atoms



Material: PmZrTaO6
Method: DFT, PBE-GGA
State: relaxed

Cell: 5.0028 5.0028 9.9923 Å, 90.00 90.00 90.00°
Atoms (fractional coordinates):
Pm1 0.0000 0.0000 0.0000
Pm2 0.5000 0.5000 0.5000
Zr1 0.0000 0.0000 0.3334
Zr2 0.5000 0.5000 0.8334
Ta1 0.0000 0.0000 0.6674
Ta2 0.5000 0.5000 0.1674
O1 0.1761 0.1761 0.5078
O2 0.1996 0.1996 0.8098
O3 0.2145 0.2145 0.1828
O4 0.2855 0.7145 0.6828
O5 0.3004 0.6996 0.3098
O6 0.3239 0.6761 0.0078
O7 0.6761 0.3239 0.0078
O8 0.6996 0.3004 0.3098
O9 0.7145 0.2855 0.6828
O10 0.7855 0.7855 0.1828
O11 0.8004 0.8004 0.8098
O12 0.8239 0.8239 0.5078

crystal system	tetragonal
uncorrected formation energy	-305.7	kJ/mol of atoms



Material: Cu2AsCl
Method: DFT, PBE-GGA
State: relaxed

Cell: 5.7461 5.7461 9.9290 Å, 90.00 90.00 90.00°
Atoms (fractional coordinates):
Cu1 0.2382 0.2500 0.1250
Cu2 0.2500 0.7382 0.3750
Cu3 0.2500 0.7618 0.8750
Cu4 0.2618 0.2500 0.6250
Cu5 0.7382 0.7500 0.6250
Cu6 0.7500 0.2382 0.8750
Cu7 0.7500 0.2618 0.3750
Cu8 0.7618 0.7500 0.1250
As1 0.0000 0.0000 0.0000
As2 0.0000 0.5000 0.2500
As3 0.5000 0.0000 0.7500
As4 0.5000 0.5000 0.5000
Cl1 0.0000 0.0000 0.5000
Cl2 0.0000 0.5000 0.7500
Cl3 0.5000 0.0000 0.2500
Cl4 0.5000 0.5000 0.0000

crystal system	tetragonal
distance to the lowest polymorph of the same formula	59.3	meV/atom
uncorrected formation energy	-2.2	kJ/mol of atoms